Crystalline Ni6IrPd at its relaxed geometry, computed with PBE.

Summary:
The total DFT energy (no corrections) is -6.060 eV per atom. Its volume is 11.99 Å³ per atom. The total magnetic moment comes out at 3.80 μB/f.u. The density of states at the Fermi level comes out at 1.85 states/eV/atom. The calculation puts the formation energy at 32 meV per atom.

Cell: 3.634 3.634 7.264 Å, 90.00 90.00 90.00°
Fractional coordinates of all 8 atoms:
Ni: 0.000 0.000 0.000
Ni: 0.000 0.000 0.500
Ni: 0.000 0.500 0.245
Ni: 0.000 0.500 0.755
Ni: 0.500 0.000 0.245
Ni: 0.500 0.000 0.755
Ir: 0.500 0.500 0.000
Pd: 0.500 0.500 0.500